# 1
DFT (PBE) results for crystalline PtBr2Cl at its relaxed geometry.

Unit cell a=4.5741 b=4.5741 c=7.9299 alpha=68.04 beta=68.04 gamma=47.17
Fractional coordinates of all 4 atoms:
1 Br 0.0964 0.0964 0.9604
2 Br 0.4036 0.4036 0.5396
3 Cl 0.2500 0.2500 0.2500
4 Pt 0.7500 0.7500 0.7500


# 2
DFT (PBE) results for crystalline Pt2BrCl at its relaxed geometry.

Unit cell a=3.7100 b=4.8180 c=4.8240 alpha=67.61 beta=90.00 gamma=90.00
Fractional coordinates of all 4 atoms:
1 Cl 0.5000 0.7911 0.7915
2 Pt 0.5000 0.2379 0.2377
3 Pt 0.0000 0.0083 0.0082
4 Br 0.0000 0.4627 0.4626


# 3
DFT (PBE) results for crystalline PtBr2Cl at its relaxed geometry.

Unit cell a=4.5332 b=4.5332 c=9.9750 alpha=90.00 beta=90.00 gamma=136.51
Fractional coordinates of all 4 atoms:
1 Br 0.5000 0.5000 0.2437
2 Br 0.0000 0.0000 0.9220
3 Pt 0.5000 0.5000 0.7474
4 Cl 0.0000 0.0000 0.5868


no.,E_form (uncorrected) (kcal/mol of atoms)
1,0.93
2,3.49
3,-0.05